# PBE SrMg3Te, optimized geometry
# space-group type = Pm-3m, No. 221
# crystal system = cubic
# uncorrected formation energy = 0.111 eV/atom
# E above lowest polymorph = 0 meV/atom
# magnetic moment = 0.00 μB/atom
data_SrMg3Te
_chemical_formula_sum 'Sr1 Mg3 Te1'
_cell_length_a 5.660
_cell_length_b 5.660
_cell_length_c 5.660
_cell_angle_alpha 90.00
_cell_angle_beta 90.00
_cell_angle_gamma 90.00
_space_group_name_H-M_alt 'P 1'
_space_group_IT_number 1
_space_group_name_Hall 'P 1'
loop_
_atom_site_label
_atom_site_fract_x
_atom_site_fract_y
_atom_site_fract_z
_atom_site_occupancy
Sr1 0.000 0.000 0.000 1
Mg1 0.000 0.500 0.500 1
Mg2 0.500 0.000 0.500 1
Mg3 0.500 0.500 0.000 1
Te1 0.500 0.500 0.500 1


# PBE SrMg3Te, optimized geometry
# space-group type = Pm-3m, No. 221
# crystal system = cubic
# uncorrected formation energy = 0.854 eV/atom
# E above lowest polymorph = 744 meV/atom
# magnetic moment = 0.00 μB/atom
data_SrMg3Te
_chemical_formula_sum 'Sr1 Mg3 Te1'
_cell_length_a 6.261
_cell_length_b 6.261
_cell_length_c 6.261
_cell_angle_alpha 90.00
_cell_angle_beta 90.00
_cell_angle_gamma 90.00
_space_group_name_H-M_alt 'P 1'
_space_group_IT_number 1
_space_group_name_Hall 'P 1'
loop_
_atom_site_label
_atom_site_fract_x
_atom_site_fract_y
_atom_site_fract_z
_atom_site_occupancy
Sr1 0.000 0.000 0.000 1
Mg1 0.000 0.000 0.500 1
Mg2 0.000 0.500 0.000 1
Mg3 0.500 0.000 0.000 1
Te1 0.500 0.500 0.500 1


no.,calculated volume (Å³/atom)
1,36.26
2,49.08